[1]
# SmYAl, optimized geometry, DFT PBE
# ΔH_f (0 K) in eV/atom: -0.18
data_SmYAl
_chemical_formula_sum 'Sm2 Y2 Al2'
_symmetry_space_group_name_H-M 'P 4/n m m'
_symmetry_Int_Tables_number 129
_cell_length_a 4.625
_cell_length_b 4.625
_cell_length_c 8.125
_cell_angle_alpha 90.00
_cell_angle_beta 90.00
_cell_angle_gamma 90.00
loop_
_symmetry_equiv_pos_as_xyz
'x,y,z'
'-x,-y,-z'
'-y+1/2,x,z'
'y+1/2,-x,-z'
'-x+1/2,-y+1/2,z'
'x+1/2,y+1/2,-z'
'y,-x+1/2,z'
'-y,x+1/2,-z'
'x+1/2,-y,-z'
'-x+1/2,y,z'
'-y,-x,-z'
'y,x,z'
'-x,y+1/2,-z'
'x,-y+1/2,z'
'y+1/2,x+1/2,-z'
'-y+1/2,-x+1/2,z'
loop_
_atom_site_label
_atom_site_type_symbol
_atom_site_fract_x
_atom_site_fract_y
_atom_site_fract_z
Sm1 Sm 0.250 0.250 0.143
Y1 Y 0.250 0.750 0.500
Al1 Al 0.250 0.250 0.760


[2]
# BeNb2Fe2, optimized geometry, DFT PBE
# ΔH_f (0 K) in eV/atom: 0.05
data_BeNb2Fe2
_chemical_formula_sum 'Be2 Nb4 Fe4'
_symmetry_space_group_name_H-M 'P 4/m b m'
_symmetry_Int_Tables_number 127
_symmetry_space_group_name_Hall '-P 4 2ab'
_cell_length_a 5.777
_cell_length_b 5.777
_cell_length_c 4.051
_cell_angle_alpha 90.00
_cell_angle_beta 90.00
_cell_angle_gamma 90.00
loop_
_atom_site_label
_atom_site_type_symbol
_atom_site_fract_x
_atom_site_fract_y
_atom_site_fract_z
Be1 Be 0.000 0.000 0.000
Nb1 Nb 0.191 0.309 0.500
Fe1 Fe 0.134 0.634 0.000


[3]
# PrYSc2, optimized geometry, DFT PBE
# ΔH_f (0 K) in eV/atom: 0.08
data_PrYSc2
_chemical_formula_sum 'Pr1 Y1 Sc2'
_symmetry_space_group_name_H-M 'P 4/m m m'
_symmetry_Int_Tables_number 123
_symmetry_space_group_name_Hall '-P 4 2'
_cell_length_a 3.928
_cell_length_b 3.928
_cell_length_c 7.559
_cell_angle_alpha 90.00
_cell_angle_beta 90.00
_cell_angle_gamma 90.00
loop_
_atom_site_label
_atom_site_type_symbol
_atom_site_fract_x
_atom_site_fract_y
_atom_site_fract_z
Pr1 Pr 0.000 0.000 0.000
Y1 Y 0.000 0.000 0.500
Sc1 Sc 0.500 0.500 0.257


[4]
# Rb2NaPtF6, optimized geometry, DFT PBE
# Formation energy (no corrections) in kJ/mol of formula units: -2057
data_Rb2NaPtF6
_chemical_formula_sum 'Rb2 Na1 Pt1 F6'
_symmetry_space_group_name_H-M 'P -3 m 1'
_symmetry_Int_Tables_number 164
_symmetry_space_group_name_Hall '-P 3 2"'
_cell_length_a 6.1567
_cell_length_b 6.1567
_cell_length_c 5.8363
_cell_angle_alpha 90.00
_cell_angle_beta 90.00
_cell_angle_gamma 120.00
loop_
_atom_site_label
_atom_site_type_symbol
_atom_site_fract_x
_atom_site_fract_y
_atom_site_fract_z
Rb1 Rb 0.3333 0.6667 0.1851
Na1 Na 0.0000 0.0000 0.5000
Pt1 Pt 0.0000 0.0000 0.0000
F1 F 0.1555 0.3110 0.7800


[5]
# BaAlAgGe2, optimized geometry, DFT PBE
# ΔH_f (0 K) in eV/atom: -0.34
data_BaAlAgGe2
_chemical_formula_sum 'Ba2 Al2 Ag2 Ge4'
_symmetry_space_group_name_H-M 'I -4 m 2'
_symmetry_Int_Tables_number 119
_symmetry_space_group_name_Hall 'I -4 -2'
_cell_length_a 4.576
_cell_length_b 4.576
_cell_length_c 11.111
_cell_angle_alpha 90.00
_cell_angle_beta 90.00
_cell_angle_gamma 90.00
loop_
_atom_site_label
_atom_site_type_symbol
_atom_site_fract_x
_atom_site_fract_y
_atom_site_fract_z
Ba1 Ba 0.000 0.000 0.000
Al1 Al 0.000 0.500 0.250
Ag1 Ag 0.000 0.500 0.750
Ge1 Ge 0.000 0.000 0.380


[6]
# NbGa3Pb, optimized geometry, DFT PBE
# ΔH_f (0 K) in eV/atom: 0.35
data_NbGa3Pb
_chemical_formula_sum 'Nb1 Ga3 Pb1'
_symmetry_space_group_name_H-M 'P m -3 m'
_symmetry_Int_Tables_number 221
_symmetry_space_group_name_Hall '-P 4 2 3'
_cell_length_a 5.071
_cell_length_b 5.071
_cell_length_c 5.071
_cell_angle_alpha 90.00
_cell_angle_beta 90.00
_cell_angle_gamma 90.00
loop_
_atom_site_label
_atom_site_type_symbol
_atom_site_fract_x
_atom_site_fract_y
_atom_site_fract_z
Nb1 Nb 0.000 0.000 0.000
Ga1 Ga 0.000 0.000 0.500
Pb1 Pb 0.500 0.500 0.500


[7]
# Er4Sc3, optimized geometry, DFT PBE
# ΔH_f (0 K) in eV/atom: 0.29
data_Er4Sc3
_chemical_formula_sum 'Er8 Sc6'
_symmetry_space_group_name_H-M 'P 63/m'
_symmetry_Int_Tables_number 176
_symmetry_space_group_name_Hall '-P 6c'
_cell_length_a 12.0004
_cell_length_b 12.0004
_cell_length_c 3.4644
_cell_angle_alpha 90.00
_cell_angle_beta 90.00
_cell_angle_gamma 120.00
loop_
_atom_site_label
_atom_site_type_symbol
_atom_site_fract_x
_atom_site_fract_y
_atom_site_fract_z
Er1 Er 0.0924 0.7684 0.2500
Er2 Er 0.3333 0.6667 0.7500
Sc1 Sc 0.0938 0.4882 0.2500


[8]
# K3Sr2OsO6, optimized geometry, DFT PBE
# Formation energy (no corrections) in kJ/mol of formula units: -2075
data_K3Sr2OsO6
_chemical_formula_sum 'K6 Sr4 Os2 O12'
_symmetry_space_group_name_H-M 'C 1 2/m 1'
_symmetry_Int_Tables_number 12
_symmetry_space_group_name_Hall '-C 2y'
_cell_length_a 6.123
_cell_length_b 10.607
_cell_length_c 6.503
_cell_angle_alpha 90.00
_cell_angle_beta 108.42
_cell_angle_gamma 90.00
loop_
_atom_site_label
_atom_site_type_symbol
_atom_site_fract_x
_atom_site_fract_y
_atom_site_fract_z
K1 K 0.000 0.000 0.000
K2 K 0.000 0.339 0.000
Sr1 Sr 0.000 0.167 0.500
Os1 Os 0.000 0.500 0.500
O1 O 0.201 0.362 0.689
O2 O 0.214 0.500 0.314


Raw total energy in Ry per atom, matching the order above: -0.37903; -0.59608; -0.43337; -0.30755; -0.28603; -0.31018; -0.36963; -0.42346
Calculated density in g cm⁻³, matching the order above: 5.09; 7.53; 4.55; 4.36; 5.96; 6.49; 6.18; 4.80